No. 1
Computed, not measured: a relaxed structure of Tb2Sm6DyTh at the GGA-PBE level of DFT.

Geometry as POSCAR:
```
Tb2Sm6DyTh
1.0
4.6392 -7.5015 0.0000
4.6392 7.5015 0.0000
-1.3018 0.0000 9.6090
Tb Sm Dy Th
4 12 2 2
Cartesian
2.2235 0.6944 0.4768 Tb
1.5726 -0.6944 5.2813 Tb
6.4041 0.6944 4.3277 Tb
5.7532 -0.6944 9.1322 Tb
2.4831 4.2100 1.7883 Sm
3.3113 4.8359 5.3575 Sm
4.0145 4.8359 9.0559 Sm
3.2583 1.6307 3.6642 Sm
6.1444 4.2100 3.0161 Sm
5.3693 1.6307 1.1403 Sm
2.6074 -1.6307 8.4686 Sm
1.8322 -4.2100 6.5928 Sm
4.7184 -1.6307 5.9448 Sm
3.9622 -4.8359 0.5530 Sm
4.6654 -4.8359 4.2514 Sm
5.4936 -4.2100 7.8206 Sm
3.6629 1.3834 7.2067 Dy
4.3138 -1.3834 2.4022 Dy
4.3138 7.0857 2.4022 Th
3.6629 -7.0857 7.2067 Th
```

Output
Space group   C2/c (15)
Crystal system   monoclinic
Formation energy from the elements   0.1477 eV per atom
Size of the total moment   0.00 Bohr magnetons per cell
Total energy   -4.81 eV/atom
DOS(E_F)   1.424 states/eV per atom

---

No. 2
Computed, not measured: a relaxed structure of Ca3MnMo at the GGA-PBE level of DFT.

Geometry as POSCAR:
```
Ca3MnMo
1.0
5.5417 0.0000 0.0000
0.0000 5.5417 0.0000
0.0000 0.0000 5.5417
Ca Mn Mo
3 1 1
Cartesian
0.0000 0.0000 2.7709 Ca
0.0000 2.7709 0.0000 Ca
2.7709 0.0000 0.0000 Ca
2.7709 2.7709 2.7709 Mn
0.0000 0.0000 0.0000 Mo
```

Output
Space group   Pm-3m (221)
Crystal system   cubic
Formation energy from the elements   1.1146 eV per atom
Size of the total moment   6.53 Bohr magnetons per cell
Total energy   -4.09 eV/atom
DOS(E_F)   0.677 states/eV per atom

---

No. 3
Computed, not measured: a relaxed structure of ZnN3O at the GGA-PBE level of DFT.

Geometry as POSCAR:
```
ZnN3O
1.0
3.8952 0.0000 0.0000
0.0000 3.8952 0.0000
0.0000 0.0000 3.8952
Zn N O
1 3 1
Cartesian
0.0000 0.0000 0.0000 Zn
0.0000 0.0000 1.9476 N
0.0000 1.9476 0.0000 N
1.9476 0.0000 0.0000 N
1.9476 1.9476 1.9476 O
```

Output
Uncorrected formation energy   2.878 eV per atom
Space group   Pm-3m (221)
Crystal system   cubic
Size of the total moment   4.00 Bohr magnetons per cell
Total energy   -3.36 eV/atom
DOS(E_F)   0.707 states/eV per atom

---

No. 4
Computed, not measured: a relaxed structure of Cs2RhAu at the GGA-PBE level of DFT.

Geometry as POSCAR:
```
Cs2RhAu
1.0
0.0000 4.0784 4.0784
4.0784 0.0000 4.0784
4.0784 4.0784 0.0000
Cs Rh Au
2 1 1
Cartesian
2.0392 2.0392 2.0392 Cs
6.1176 6.1176 6.1176 Cs
0.0000 0.0000 0.0000 Rh
4.0784 4.0784 4.0784 Au
```

Output
Space group   Fm-3m (225)
Crystal system   cubic
Formation energy from the elements   0.6613 eV per atom
Size of the total moment   0.00 Bohr magnetons per cell
Total energy   -2.42 eV/atom
DOS(E_F)   1.292 states/eV per atom

---

No. 5
Computed, not measured: a relaxed structure of Al13Cr4Si4 at the GGA-PBE level of DFT.

Geometry as POSCAR:
```
Al13Cr4Si4
1.0
0.0000 5.4520 5.4520
5.4520 0.0000 5.4520
5.4520 5.4520 0.0000
Al Cr Si
13 4 4
Cartesian
0.0000 0.0000 0.0000 Al
5.4520 5.4520 3.3711 Al
5.4520 3.3711 5.4520 Al
7.5329 5.4520 5.4520 Al
8.1780 8.1780 6.0973 Al
8.1780 6.0973 8.1780 Al
10.2588 8.1780 8.1780 Al
3.3711 5.4520 5.4520 Al
5.4520 7.5329 5.4520 Al
5.4520 5.4520 7.5329 Al
6.0973 8.1780 8.1780 Al
8.1780 10.2588 8.1780 Al
8.1780 8.1780 10.2588 Al
3.7316 3.7316 3.7316 Cr
7.1725 7.1725 3.7316 Cr
7.1725 3.7316 7.1725 Cr
3.7316 7.1725 7.1725 Cr
1.3891 1.3891 1.3891 Si
4.0630 4.0630 1.3891 Si
4.0630 1.3891 4.0630 Si
1.3891 4.0630 4.0630 Si
```

Output
Uncorrected formation energy   -0.189 eV per atom
Space group   F-43m (216)
Crystal system   cubic
Size of the total moment   1.44 Bohr magnetons per cell
Total energy   -5.37 eV/atom
DOS(E_F)   0.561 states/eV per atom

---

No. 6
Computed, not measured: a relaxed structure of Dy2ZrNpP4 at the GGA-PBE level of DFT.

Geometry as POSCAR:
```
Dy2ZrNpP4
1.0
6.7707 0.0000 0.0000
0.0000 3.9180 0.0000
-2.2382 0.0000 6.4150
Dy Zr Np P
2 1 1 4
Cartesian
0.0000 0.0000 0.0000 Dy
3.3854 1.9590 0.0000 Dy
-1.1191 1.9590 3.2075 Zr
2.2662 0.0000 3.2075 Np
-0.0134 0.0000 4.7306 P
1.0981 1.9590 1.6641 P
3.4344 1.9590 4.7508 P
4.5459 0.0000 1.6843 P
```

Output
Space group   P2/m (10)
Crystal system   monoclinic
Formation energy from the elements   -1.3683 eV per atom
Size of the total moment   3.84 Bohr magnetons per cell
Total energy   -7.91 eV/atom
DOS(E_F)   1.172 states/eV per atom

---

No. 7
Computed, not measured: a relaxed structure of Na3ZrW at the GGA-PBE level of DFT.

Geometry as POSCAR:
```
Na3ZrW
1.0
5.2759 0.0000 0.0000
0.0000 5.2759 0.0000
0.0000 0.0000 5.2759
Na Zr W
3 1 1
Cartesian
0.0000 0.0000 2.6380 Na
0.0000 2.6380 0.0000 Na
2.6380 0.0000 0.0000 Na
2.6380 2.6380 2.6380 Zr
0.0000 0.0000 0.0000 W
```

Output
Space group   Pm-3m (221)
Crystal system   cubic
Formation energy from the elements   2.3198 eV per atom
Size of the total moment   0.00 Bohr magnetons per cell
Total energy   -2.77 eV/atom
DOS(E_F)   2.166 states/eV per atom

---

No. 8
Computed, not measured: a relaxed structure of CePm2 at the GGA-PBE level of DFT.

Geometry as POSCAR:
```
CePm2
1.0
3.5995 0.0000 0.0000
-1.7982 3.1194 0.0000
-1.7936 -1.0435 8.6510
Ce Pm
1 2
Cartesian
0.0000 0.0000 0.0000 Ce
0.0043 -0.0046 5.8553 Pm
0.0071 2.0716 2.7959 Pm
```

Output
Space group   P1 (1)
Crystal system   triclinic
Formation energy from the elements   0.0575 eV per atom
Size of the total moment   0.29 Bohr magnetons per cell
Total energy   -5.09 eV/atom
DOS(E_F)   1.983 states/eV per atom

---

No. 9
Computed, not measured: a relaxed structure of NiW at the GGA-PBE level of DFT.

Geometry as POSCAR:
```
NiW
1.0
8.7825 0.0000 0.0000
-4.3913 7.6059 0.0000
0.0000 0.0000 2.6567
Ni W
6 6
Cartesian
-0.7769 2.0240 0.6642 Ni
-2.2499 7.2667 0.6642 Ni
1.3644 1.6848 1.9925 Ni
3.0268 5.9211 0.6642 Ni
6.6412 0.3392 1.9925 Ni
5.1681 5.5818 1.9925 Ni
-1.5432 4.8434 0.6642 W
0.9683 3.8477 0.6642 W
0.5749 6.5206 0.6642 W
3.8164 1.0853 1.9925 W
3.4230 3.7582 1.9925 W
5.9344 2.7624 1.9925 W
```

Output
Space group   P6_3/m (176)
Crystal system   hexagonal
Formation energy from the elements   0.4750 eV per atom
Size of the total moment   0.00 Bohr magnetons per cell
Total energy   -8.89 eV/atom
DOS(E_F)   1.003 states/eV per atom

---

No. 10
Computed, not measured: a relaxed structure of Ac3Sb at the GGA-PBE level of DFT.

Geometry as POSCAR:
```
Ac3Sb
1.0
5.2844 0.0000 0.0000
0.0000 5.2844 0.0000
0.0000 0.0000 5.2844
Ac Sb
3 1
Cartesian
0.0000 0.0000 2.6422 Ac
0.0000 2.6422 0.0000 Ac
2.6422 0.0000 0.0000 Ac
2.6422 2.6422 2.6422 Sb
```

Output
Uncorrected formation energy   -0.451 eV per atom
Space group   Pm-3m (221)
Crystal system   cubic
Size of the total moment   0.00 Bohr magnetons per cell
Total energy   -4.56 eV/atom
DOS(E_F)   0.711 states/eV per atom

---

No. 11
Computed, not measured: a relaxed structure of TaSnPd2 at the GGA-PBE level of DFT.

Geometry as POSCAR:
```
TaSnPd2
1.0
3.4740 0.0000 0.0000
0.0000 3.4740 0.0000
0.0000 0.0000 5.9477
Ta Sn Pd
1 1 2
Cartesian
0.0000 0.0000 0.0000 Ta
0.0000 0.0000 2.9739 Sn
1.7370 1.7370 1.3481 Pd
1.7370 1.7370 4.5996 Pd
```

Output
Space group   P4/mmm (123)
Crystal system   tetragonal
Formation energy from the elements   -0.2552 eV per atom
Size of the total moment   0.00 Bohr magnetons per cell
Total energy   -6.82 eV/atom
DOS(E_F)   0.953 states/eV per atom

---

Q: Among the records above, which one has the highest total energy?
A: Cs2RhAu

---

Q: Which of these has the highest DOS(E_F)?
A: Na3ZrW